Density functional theory data (GGA-PBE) for Ti3BeSb after structural relaxation.

a = 6.131 Å, b = 6.131 Å, c = 5.031 Å
α = 90.00°, β = 90.00°, γ = 120.00°
Fractional coordinates of all 10 atoms:
Ti: 0.179 0.359 0.250
Ti: 0.179 0.821 0.250
Ti: 0.359 0.179 0.750
Ti: 0.641 0.821 0.250
Ti: 0.821 0.179 0.750
Ti: 0.821 0.641 0.750
Be: 0.000 0.000 0.000
Be: 0.000 0.000 0.500
Sb: 0.333 0.667 0.750
Sb: 0.667 0.333 0.250

Summary:
Total magnetization, μB per formula unit: 0.0
Energy, eV/atom: -6.460
D(E_F), states/eV/f.u.: 4.532